Entry from the Alexandria database: an optimized crystal structure of Tb2MnSbO7 (PBE with a Hubbard U).

Computed properties:
Calculated total energy: -7.558 eV per atom
Density: 7.2 g cm⁻³

The structure in CIF format:
```
data_Tb2MnSbO7
_cell_length_a 7.154
_cell_length_b 7.493
_cell_length_c 10.376
_cell_angle_alpha 90.00
_cell_angle_beta 90.00
_cell_angle_gamma 90.00
_symmetry_space_group_name_H-M 'I m m a'
_symmetry_Int_Tables_number 74
_symmetry_space_group_name_Hall '-I 2b 2'
loop_
_atom_site_label
_atom_site_fract_x
_atom_site_fract_y
_atom_site_fract_z
Tb1 0.000 0.000 0.000
Tb2 0.250 0.250 0.250
Mn1 0.250 0.250 0.750
Sb1 0.000 0.000 0.500
O1 0.000 0.250 0.123
O2 0.000 0.250 0.422
O3 0.000 0.250 0.832
O4 0.207 0.032 0.626
```